P.
DFT (PBEsol) results for crystalline HgAsCl2 at its relaxed geometry.

Calculated values
M_tot (μB per atom): 0.00
D(E_F) (states/eV/cell): 1.4

Lattice parameters (Å, degrees): 3.665 3.569 8.610 90.00 90.00 120.89
Sites, in units of the cell vectors:
Cl  0.000  0.000  0.945
Cl  0.500  0.000  0.302
Hg  0.000  0.000  0.509
As  0.500  0.000  0.743

***

Q.
DFT (PBEsol) results for crystalline HgAsCl2 at its relaxed geometry.

Calculated values
M_tot (μB per atom): 0.00
D(E_F) (states/eV/cell): 2.9

Lattice parameters (Å, degrees): 3.458 4.406 7.556 91.88 90.00 113.11
Sites, in units of the cell vectors:
Cl  0.964  0.927  0.046
Cl  0.196  0.391  0.678
As  0.829  0.658  0.289
Hg  0.512  0.024  0.487

***

Order of stability, best first: Q, P